The following is a PBE with a Hubbard U calculation of a relaxed structure of Mg2ScMoO6, from Alexandria via LeMat-Bulk.

The structure in extended XYZ format:
```
10
Lattice="-1.492 -3.018 -4.070 -0.897 -5.091 0.715 -5.347 -1.801 -0.180" Properties=species:S:1:pos:R:3 pbc="T T T"
O -5.344 -6.207 -1.321
O -2.522 -5.943 -0.272
O -2.408 -3.366 -2.328
O -4.611 -3.853 -0.286
O -5.204 -4.091 -2.937
O -3.293 -6.340 -3.434
Mo -1.018 -2.638 -1.090
Mg -5.029 -1.846 -0.204
Mg -3.551 -4.994 -1.856
Sc -4.970 -7.558 -2.816
```

## Properties
Its space group is P1 (1). The calculation puts the density of states at the Fermi level at 0.000 states/eV/atom. Its final energy is -7.1749 eV per atom.